Record 1
# LaSm3Dy6Er2 PBE-GGA optimized geometry
data_LaSm3Dy6Er2
_space_group_name_H-M_alt 'C 1 2/m 1'
_space_group_IT_number 12
_space_group_name_Hall '-C 2y'
_cell_length_a 6.195
_cell_length_b 10.725
_cell_length_c 11.851
_cell_angle_alpha 90.00
_cell_angle_beta 100.00
_cell_angle_gamma 90.00
loop_
_atom_site_label
_atom_site_type_symbol
_atom_site_fract_x
_atom_site_fract_y
_atom_site_fract_z
La1 La 0.000 0.000 0.000
Sm1 Sm 0.000 0.167 0.500
Sm2 Sm 0.000 0.500 0.500
Dy1 Dy 0.249 0.333 0.750
Dy2 Dy 0.249 0.500 0.250
Er1 Er 0.000 0.333 0.000
# energy relative to the elements = 1.8 kJ per mole of atoms
# E = -111.19 eV per cell
# crystal system = monoclinic



Record 2
# Pa6Tc5Os PBE-GGA optimized geometry
data_Pa6Tc5Os
_space_group_name_H-M_alt 'P 1 2/m 1'
_space_group_IT_number 10
_space_group_name_Hall '-P 2y'
_cell_length_a 4.911
_cell_length_b 6.818
_cell_length_c 7.694
_cell_angle_alpha 90.00
_cell_angle_beta 108.33
_cell_angle_gamma 90.00
loop_
_atom_site_label
_atom_site_type_symbol
_atom_site_fract_x
_atom_site_fract_y
_atom_site_fract_z
Pa1 Pa 0.000 0.248 0.000
Pa2 Pa 0.333 0.250 0.668
Tc1 Tc 0.167 0.500 0.334
Tc2 Tc 0.176 0.000 0.342
Tc3 Tc 0.500 0.500 0.000
Os1 Os 0.500 0.000 0.000
# energy relative to the elements = -16.2 kJ per mole of atoms
# E = -122.05 eV per cell
# offset from the most stable computed form = 0 meV/atom
# crystal system = monoclinic



Record 3
# Pr2TmN2Cl2 PBE-GGA optimized geometry
data_Pr2TmN2Cl2
_space_group_name_H-M_alt 'I 4/m m m'
_space_group_IT_number 139
_space_group_name_Hall '-I 4 2'
_cell_length_a 4.448
_cell_length_b 4.448
_cell_length_c 15.349
_cell_angle_alpha 90.00
_cell_angle_beta 90.00
_cell_angle_gamma 90.00
loop_
_atom_site_label
_atom_site_type_symbol
_atom_site_fract_x
_atom_site_fract_y
_atom_site_fract_z
Pr1 Pr 0.000 0.000 0.098
Tm1 Tm 0.000 0.000 0.500
N1 N 0.000 0.500 0.000
Cl1 Cl 0.000 0.000 0.320
# E = -90.40 eV per cell
# formation energy without anion corrections = -1.546 eV/atom
# crystal system = tetragonal



Record 4
# Cs12Tl5Cd3 PBE-GGA optimized geometry
data_Cs12Tl5Cd3
_space_group_name_H-M_alt 'I a -3 d'
_space_group_IT_number 230
_space_group_name_Hall '-I 4bd 2c 3'
_cell_length_a 23.170
_cell_length_b 23.170
_cell_length_c 23.170
_cell_angle_alpha 90.00
_cell_angle_beta 90.00
_cell_angle_gamma 90.00
loop_
_atom_site_label
_atom_site_type_symbol
_atom_site_fract_x
_atom_site_fract_y
_atom_site_fract_z
Cs1 Cs 0.026 0.075 0.648
Tl1 Tl 0.000 0.000 0.000
Tl2 Tl 0.000 0.250 0.375
Cd1 Cd 0.000 0.250 0.125
# energy relative to the elements = 17.0 kJ per mole of atoms
# E = -170.32 eV per cell
# crystal system = cubic